## Cu7AgPd4 (GGA-PBE)

Data for crystalline Cu7AgPd4 at its relaxed geometry.

Computed properties:
calculated formation energy: 143 meV/atom
total moment: 0.0 μB per cell
distance to the lowest polymorph of the same formula: 204 meV/atom
E: -0.3098 Ry per atom

a = 9.3107 Å, b = 4.6330 Å, c = 9.1308 Å
α = 90.00°, β = 116.45°, γ = 90.00°
Space group C2/m (No. 12)
Unique sites:
Cu: 0.0000 0.0000 0.0000 (multiplicity 2)
Cu: 0.1211 0.5000 0.4682 (multiplicity 4)
Cu: 0.1610 0.0000 0.6220 (multiplicity 4)
Cu: 0.2047 0.0000 0.9135 (multiplicity 4)
Ag: 0.0000 0.5000 0.0000 (multiplicity 2)
Pd: 0.0870 0.0000 0.3093 (multiplicity 4)
Pd: 0.1576 0.5000 0.7737 (multiplicity 4)